1.
## CsTl2Sn (GGA-PBEsol)

Data for CsTl2Sn after structural relaxation. Values from VASP.

Results
**Density of states at the Fermi level**: 2.45 states/eV/cell
**Symmetry**: Fm-3m
**Mass density**: 8483 kg/m3
**Formation energy from the elements**: -0.030 eV per atom
**VASP energy**: -10.58 eV for the cell shown
**Magnetization**: 0.000 μB per atom

Geometry as Quantum ESPRESSO input:
```
&SYSTEM
  ibrav = 0, nat = 4, ntyp = 3
/
ATOMIC_SPECIES
Cs 132.91 Cs.upf
Tl 204.38 Tl.upf
Sn 118.71 Sn.upf
CELL_PARAMETERS angstrom
0.0000 4.0132 4.0132
4.0132 0.0000 4.0132
4.0132 4.0132 0.0000
ATOMIC_POSITIONS crystal
Cs 0.0000 0.0000 0.0000
Tl 0.2500 0.2500 0.2500
Tl 0.7500 0.7500 0.7500
Sn 0.5000 0.5000 0.5000
```

=====

2.
## CsY3Sn (GGA-PBEsol)

Data for CsY3Sn after structural relaxation. Values from VASP.

Results
**Density of states at the Fermi level**: 8.25 states/eV/cell
**Symmetry**: Pm-3m
**Mass density**: 4262 kg/m3
**Formation energy from the elements**: 0.320 eV per atom
**VASP energy**: -24.07 eV for the cell shown
**Magnetization**: 0.001 μB per atom

Geometry as Quantum ESPRESSO input:
```
&SYSTEM
  ibrav = 0, nat = 5, ntyp = 3
/
ATOMIC_SPECIES
Cs 132.91 Cs.upf
Y 88.91 Y.upf
Sn 118.71 Sn.upf
CELL_PARAMETERS angstrom
5.8668 0.0000 0.0000
0.0000 5.8668 0.0000
0.0000 0.0000 5.8668
ATOMIC_POSITIONS crystal
Cs 0.0000 0.0000 0.0000
Y 0.0000 0.5000 0.5000
Y 0.5000 0.0000 0.5000
Y 0.5000 0.5000 0.0000
Sn 0.5000 0.5000 0.5000
```